A relaxed structure of NiAsS2O, computed with PBE with a Hubbard U.

Summary:
Its crystal system is tetragonal. The value obtained for the volume is 14.5 Å³ per atom. The raw total energy comes out at -18.702 eV per formula unit.

CIF file:
```
data_NiAsS2O
_cell_length_a 4.5344
_cell_length_b 4.5344
_cell_length_c 3.5280
_cell_angle_alpha 90.00
_cell_angle_beta 90.00
_cell_angle_gamma 90.00
_symmetry_space_group_name_H-M 'P 4/m m m'
_symmetry_Int_Tables_number 123
_symmetry_space_group_name_Hall '-P 4 2'
loop_
_atom_site_label
_atom_site_type_symbol
_atom_site_fract_x
_atom_site_fract_y
_atom_site_fract_z
Ni1 Ni 0.0000 0.0000 0.0000
As1 As 0.5000 0.5000 0.5000
S1 S 0.0000 0.5000 0.0000
O1 O 0.0000 0.0000 0.5000
```